First-principles (PBE-GGA) data for a geometry-optimized ZnCuRh6 structure, as listed in the Alexandria database.

total magnetic moment = 0.0 μB/cell
E_tot = -6.2556 eV/atom

Unit cell a=8.5663 b=3.8122 c=7.6297 alpha=90.00 beta=116.46 gamma=90.00
Last column: nearest neighbours and their distance in Å.
Space group C2/m (No. 12)
Asymmetric unit:
Zn  0.0000  0.0000  0.0000  12 Rh 2.70-2.71
Cu  0.0000  0.0000  0.5000  12 Rh 2.69-2.71
Rh  0.0001  0.5000  0.2515  8 Rh 2.69-2.72, 2 Cu 2.69, 2 Zn 2.70
Rh  0.2494  0.0000  0.8738  8 Rh 2.69-2.72, 1 Cu 2.70, 3 Zn 2.71
Rh  0.2492  0.5000  0.6240  8 Rh 2.69-2.71, 3 Cu 2.70-2.71, 1 Zn 2.71



First-principles (PBE-GGA) data for a geometry-optimized UAs2H structure, as listed in the Alexandria database.

total magnetic moment = 3.0 μB/cell
E_tot = -6.0015 eV/atom

Unit cell a=4.2282 b=4.2282 c=19.1061 alpha=90.00 beta=90.00 gamma=120.00
Last column: nearest neighbours and their distance in Å.
Space group R-3m (No. 166, hexagonal axes)
Asymmetric unit:
U  0.0000  0.0000  0.0000  6 As 2.82
As  0.0000  0.0000  0.4069  1 H 1.78
H  0.0000  0.0000  0.5000  2 As 1.78



First-principles (PBE-GGA) data for a geometry-optimized Sm2ErMg2In5 structure, as listed in the Alexandria database.

total magnetic moment = 0.0 μB/cell
E_tot = -3.3807 eV/atom

Unit cell a=10.6467 b=10.6467 c=4.5306 alpha=90.00 beta=90.00 gamma=90.00
Last column: nearest neighbours and their distance in Å.
Space group P4/mbm (No. 127)
Asymmetric unit:
Sm  0.1702  0.3298  0.0000  3 Mg 3.08-3.18, 2 In 3.42
Er  0.0000  0.0000  0.0000  8 In 3.22
Mg  0.1253  0.6253  0.0000  6 In 2.95-2.97, 3 Sm 3.08-3.18
In  0.0000  0.5000  0.5000  4 Mg 2.95, 4 In 3.27
In  0.0730  0.7981  0.5000  2 Mg 2.97, 2 Er 3.22, 3 In 3.23-3.27



First-principles (PBE-GGA) data for a geometry-optimized FeAs structure, as listed in the Alexandria database.

total magnetic moment = 11.1 μB/cell
E_tot = -6.3901 eV/atom

Unit cell a=10.3306 b=10.3306 c=2.8568 alpha=90.00 beta=90.00 gamma=90.00
Last column: nearest neighbours and their distance in Å.
Space group I4/m (No. 87)
Asymmetric unit:
Fe  0.1511  0.7309  0.0000  4 As 2.30-2.35, 2 Fe 2.52
As  0.0716  0.2632  0.0000  4 Fe 2.30-2.35



Among the records above, which one has the highest E_tot?
Sm2ErMg2In5